Record 1
The following is a DFT calculation (GGA-PBE) of an optimized crystal structure of Be2BS.

Properties
Its theoretical density is 2.120 g cm⁻³. Its total magnetization is 0.0 μB/cell. The value obtained for the formation energy from raw total energies is -0.289 eV/atom.

abc: 3.1818 3.4110 8.7914
angles: 90.00 90.05 90.00
Closest atoms and distances in Å follow each position.
Fractional positions:
Be 0.5576 0.5000 0.0793  4 B 1.93-2.02
Be 0.8521 0.0000 0.2627  1 B 1.87, 2 S 2.03
Be 0.3520 0.5000 0.5499  4 S 2.04-2.12
Be 0.8535 0.0000 0.8309  3 B 1.93-2.10, 2 S 2.08
S 0.3513 0.0000 0.4058  4 Be 2.03-2.12
S 0.8525 0.5000 0.6946  4 Be 2.04-2.08
B 0.3439 0.0000 0.9828  2 B 1.66-1.73
B 0.8332 0.0000 0.0499  2 B 1.66-1.73

Record 2
The following is a DFT calculation (GGA-PBE) of an optimized crystal structure of LiMgTi2Te.

Properties
Its theoretical density is 3.819 g cm⁻³. Its total magnetization is 0.0 μB/cell. The value obtained for the formation energy from raw total energies is 0.783 eV/atom.

abc: 4.9352 4.5446 4.9352
angles: 90.00 90.00 90.00
Closest atoms and distances in Å follow each position.
Fractional positions:
Mg 0.0000 0.0000 0.0000  2 Li 2.27, 4 Ti 2.47
Te 0.5000 0.5000 0.5000  8 Ti 3.35, 4 Li 3.49
Li 0.0000 0.5000 0.0000  2 Mg 2.27
Ti 0.0000 0.0000 0.5000  2 Mg 2.47
Ti 0.5000 0.0000 0.0000  2 Mg 2.47

Record 3
The following is a DFT calculation (GGA-PBE) of an optimized crystal structure of AcScCuPt.

Properties
Its theoretical density is 9.642 g cm⁻³. The value obtained for the formation energy is -503 meV per atom. Its total magnetization is 0.0 μB/cell.

abc: 5.0557 5.0557 5.0557
angles: 60.00 60.00 60.00
Closest atoms and distances in Å follow each position.
Fractional positions:
Sc 0.0000 0.0000 0.0000  4 Cu 3.10, 4 Pt 3.10
Ac 0.5000 0.5000 0.5000  4 Pt 3.10, 4 Cu 3.10
Cu 0.7500 0.7500 0.7500  4 Sc 3.10, 4 Ac 3.10
Pt 0.2500 0.2500 0.2500  4 Ac 3.10, 4 Sc 3.10

Record 4
The following is a DFT calculation (GGA-PBE) of an optimized crystal structure of ScCoTc2.

Properties
Its theoretical density is 8.354 g cm⁻³. The value obtained for the formation energy is 27 meV per atom. Its total magnetization is 0.0 μB/cell.

abc: 4.2744 2.8391 4.9800
angles: 80.51 90.00 90.00
Closest atoms and distances in Å follow each position.
Fractional positions:
Co 0.0000 0.3387 0.5264  5 Tc 2.60-2.81, 4 Sc 2.68-2.75, 2 Co 2.84
Sc 0.5000 0.7640 0.7058  5 Tc 2.62-2.90, 4 Co 2.68-2.75, 2 Sc 2.84
Tc 0.0000 0.0226 0.0480  6 Tc 2.57-2.86, 3 Co 2.60-2.81
Tc 0.5000 0.3747 0.2199  6 Tc 2.57-2.86, 3 Sc 2.62-2.82, 2 Co 2.62

Record 5
The following is a DFT calculation (GGA-PBE) of an optimized crystal structure of CaFe8.

Properties
Its theoretical density is 6.701 g cm⁻³. The value obtained for the formation energy is 356 meV per atom. Its total magnetization is 19.9 μB/cell.

abc: 5.7854 5.7854 5.7854
angles: 97.32 97.32 138.16
Closest atoms and distances in Å follow each position.
Fractional positions:
Ca 0.0000 0.0000 0.0000  12 Fe 2.65-2.85
Fe 0.3188 0.6812 0.0000  4 Fe 2.45-2.55
Fe 0.6812 0.3188 0.0000  4 Fe 2.45-2.55
Fe 0.0000 0.3473 0.3473  3 Fe 2.33-2.45
Fe 0.6812 0.6812 0.3624  4 Fe 2.45-2.55
Fe 0.3473 0.0000 0.3473  3 Fe 2.33-2.45
Fe 0.3188 0.3188 0.6376  4 Fe 2.45-2.55
Fe 0.0000 0.6527 0.6527  3 Fe 2.33-2.45
Fe 0.6527 0.0000 0.6527  3 Fe 2.33-2.45

Record 6
The following is a DFT calculation (GGA-PBE) of an optimized crystal structure of CdAg14Sn.

Properties
Its theoretical density is 9.834 g cm⁻³. The value obtained for the formation energy is 9 meV per atom. Its total magnetization is 0.0 μB/cell.

abc: 5.9592 5.9592 8.2792
angles: 90.00 90.00 90.00
Closest atoms and distances in Å follow each position.
Fractional positions:
Cd 0.3750 0.3750 0.5000  12 Ag 2.98
Ag 0.8750 0.8750 0.0000  12 Ag 2.93-2.98
Ag 0.3750 0.3750 0.0000  12 Ag 2.91-2.98
Ag 0.8750 0.3750 0.5000  2 Sn 2.98, 2 Cd 2.98, 8 Ag 2.99
Ag 0.8750 0.3750 0.0000  12 Ag 2.92-2.98
Ag 0.3750 0.8750 0.5000  2 Sn 2.98, 2 Cd 2.98, 8 Ag 2.99
Ag 0.3750 0.8750 0.0000  12 Ag 2.92-2.98
Ag 0.6238 0.1262 0.2444  10 Ag 2.91-2.99, 1 Cd 2.98, 1 Sn 2.99
Ag 0.6238 0.1262 0.7556  10 Ag 2.91-2.99, 1 Cd 2.98, 1 Sn 2.99
Ag 0.1262 0.6238 0.2444  10 Ag 2.91-2.99, 1 Cd 2.98, 1 Sn 2.99
Ag 0.1262 0.6238 0.7556  10 Ag 2.91-2.99, 1 Cd 2.98, 1 Sn 2.99
Ag 0.6237 0.6237 0.2444  10 Ag 2.91-2.99, 1 Cd 2.98, 1 Sn 2.99
Ag 0.6237 0.6237 0.7556  10 Ag 2.91-2.99, 1 Cd 2.98, 1 Sn 2.99
Ag 0.1263 0.1263 0.2444  10 Ag 2.91-2.99, 1 Cd 2.98, 1 Sn 2.99
Ag 0.1263 0.1263 0.7556  10 Ag 2.91-2.99, 1 Cd 2.98, 1 Sn 2.99
Sn 0.8750 0.8750 0.5000  12 Ag 2.98-2.99

Record 7
The following is a DFT calculation (GGA-PBE) of an optimized crystal structure of Ho2NpS4.

Properties
Its theoretical density is 6.245 g cm⁻³. Its total magnetization is 9.7 μB/cell. The value obtained for the formation energy from raw total energies is -1.678 eV/atom.

abc: 8.0757 8.0604 8.0604
angles: 59.65 59.94 59.94
Closest atoms and distances in Å follow each position.
Fractional positions:
Ho 0.1255 0.1245 0.6245  4 S 2.59-2.61
Ho 0.5000 0.0000 0.0000  6 S 2.75
Ho 0.5000 0.5000 0.5000  6 S 2.75
Ho 0.8745 0.8755 0.3755  4 S 2.59-2.61
Np 0.0000 0.5000 0.0000  6 S 2.79-2.81
Np 0.5000 0.5000 0.0000  6 S 2.79-2.81
S 0.2597 0.2511 0.2296  2 Ho 2.59-2.75, 2 Np 2.79
S 0.2597 0.7296 0.7511  2 Ho 2.59-2.75, 2 Np 2.79
S 0.2626 0.2542 0.7542  3 Ho 2.61-2.75, 1 Np 2.81
S 0.7290 0.2542 0.7542  3 Ho 2.61-2.75, 1 Np 2.81
S 0.2710 0.7458 0.2458  3 Ho 2.61-2.75, 1 Np 2.81
S 0.7403 0.2704 0.2489  2 Ho 2.59-2.75, 2 Np 2.79
S 0.7374 0.7458 0.2458  3 Ho 2.61-2.75, 1 Np 2.81
S 0.7403 0.7489 0.7704  2 Ho 2.59-2.75, 2 Np 2.79

Record 8
The following is a DFT calculation (GGA-PBE) of an optimized crystal structure of Ba4LiTl2.

Properties
Its theoretical density is 4.950 g cm⁻³. The value obtained for the formation energy is -196 meV per atom. Its total magnetization is 0.0 μB/cell.

abc: 6.0885 6.0862 9.7311
angles: 108.07 108.23 90.00
Closest atoms and distances in Å follow each position.
Fractional positions:
Ba 0.8681 0.3675 0.7363  4 Tl 3.67-3.68, 2 Li 3.81-3.83
Ba 0.1319 0.6325 0.2637  4 Tl 3.67-3.68, 2 Li 3.81-3.83
Ba 0.6320 0.1339 0.2640  4 Tl 3.67-3.68, 2 Li 3.82
Ba 0.3680 0.8661 0.7360  4 Tl 3.67-3.68, 2 Li 3.82
Li 0.0000 0.0000 0.0000  8 Ba 3.81-3.83
Tl 0.7506 0.7516 0.5013  8 Ba 3.67-3.68
Tl 0.2494 0.2484 0.4987  8 Ba 3.67-3.68